NiBiSb2: optimized geometry, GGA-PBE.

The calculation puts the total energy at -4.03 eV per atom. The size of the total moment comes out at 0.0010 μB/atom.

abc: 7.2548 7.2548 7.2548
angles: 90.00 90.00 90.00
Last column: nearest neighbours and their distance in Å.
Space group F-43m (No. 216)
One atom of each set of equivalent atoms:
Ni: 0.0000 0.0000 0.0000 [4 per cell]  4 Sb 3.14, 4 Bi 3.14
Bi: 0.2500 0.2500 0.7500 [4 per cell]  4 Sb 3.14, 4 Ni 3.14
Sb: 0.0000 0.0000 0.5000 [4 per cell]  4 Bi 3.14, 4 Sb 3.14
Sb: 0.2500 0.2500 0.2500 [4 per cell]  4 Sb 3.14, 4 Ni 3.14